A plane-wave DFT calculation with PBE was carried out for a relaxed ZnHCl3 crystal.

```
ZnHCl3
1.0
-4.309 0.503 -0.714
-0.739 -0.187 4.330
0.465 4.364 0.268
Cl Zn H
3 1 1
direct
0.000 0.000 0.500
0.000 0.500 0.000
0.500 0.000 0.000
0.500 0.500 0.500
0.000 0.000 0.000
```

Results
SG = Pm-3m (221)
Energy above the lowest structure with this stoichiometry = 5.11 eV/f.u.

A plane-wave DFT calculation with PBE was carried out for a relaxed YMg3F crystal.

```
YMg3F
1.0
4.760 0.000 0.000
0.000 4.760 0.000
0.000 0.000 4.760
Mg Y F
3 1 1
direct
0.000 0.000 0.500
0.500 0.000 0.000
0.000 0.500 0.000
0.500 0.500 0.500
0.000 0.000 0.000
```

Results
SG = Pm-3m (221)
Energy above the lowest structure with this stoichiometry = 0.00 eV/f.u.
Formation energy from raw total energies = -0.78 eV/atom

A plane-wave DFT calculation with PBE was carried out for a relaxed LiSc crystal.

```
LiSc
1.0
-3.860 -1.942 9.418
-2.541 -4.806 8.821
-0.752 -2.439 10.043
Li Sc
2 2
direct
0.748 0.748 0.748
0.002 0.002 0.002
0.500 0.500 0.500
0.250 0.250 0.250
```

Results
SG = R-3m (166)
Energy above the lowest structure with this stoichiometry = 0.00 eV/f.u.
Energy relative to the elements = 0.18 eV per formula unit

A plane-wave DFT calculation with PBE was carried out for a relaxed ZrBeAl2 crystal.

```
ZrBeAl2
1.0
5.087 -0.001 0.000
2.078 4.643 0.000
-3.582 -2.321 2.767
Be Al Zr
1 2 1
direct
0.500 0.500 0.000
0.250 0.750 0.500
0.000 0.000 0.000
0.750 0.250 0.500
```

Results
SG = I-4m2 (119)
Energy relative to the elements = -0.58 eV per formula unit

A plane-wave DFT calculation with PBE was carried out for a relaxed NbTlSe2 crystal.

```
NbTlSe2
1.0
25.834 0.000 0.753
0.000 3.501 0.000
-8.554 0.000 4.660
Nb Se Tl
4 8 4
direct
0.239 0.750 0.343
0.261 0.250 0.157
0.761 0.250 0.657
0.739 0.750 0.843
0.654 0.250 0.817
0.346 0.750 0.183
0.888 0.250 0.156
0.846 0.750 0.683
0.388 0.250 0.656
0.154 0.250 0.317
0.612 0.750 0.344
0.112 0.750 0.844
0.549 0.750 0.824
0.049 0.750 0.324
0.951 0.250 0.676
0.451 0.250 0.176
```

Results
SG = P2_1/m (11)
Formation energy from raw total energies = -0.61 eV/atom

A plane-wave DFT calculation with PBE was carried out for a relaxed La2PmErTm crystal.

```
La2PmErTm
1.0
11.384 0.000 0.000
0.000 6.804 0.000
0.000 -3.402 4.673
Tm Pm La Er
2 2 4 2
direct
0.750 0.834 0.669
0.250 0.166 0.331
0.750 0.504 0.008
0.250 0.496 0.992
0.000 0.251 0.000
0.500 0.749 0.000
0.500 0.251 0.000
0.000 0.749 0.000
0.750 0.174 0.347
0.250 0.826 0.653
```

Results
SG = Cmcm (63)
Energy relative to the elements = 1.64 eV per formula unit

no.,DOS(E_F) (states/eV/cell),calculated volume (Å³ per cell)
1,2.7,85.0
2,2.8,107.8
3,4.0,90.9
4,3.2,65.4
5,0.0,444.1
6,13.1,362.0